[1]
NiAgSn6Au2 | PBE-GGA | optimized geometry Values from VASP.

Output
Crystal system: monoclinic
E_form in eV/f.u.: -0.839
Calculated total energy in eV/atom: -4.004
Magnetization in μB per formula unit: 0.0
Calculated density in g/cm³: 9.1
SG: No. 14

Structure (Quantum ESPRESSO input):
```
&SYSTEM
  ibrav = 0, nat = 20, ntyp = 4
/
ATOMIC_SPECIES
Ni 58.69 Ni.upf
Ag 107.87 Ag.upf
Sn 118.71 Sn.upf
Au 196.97 Au.upf
CELL_PARAMETERS angstrom
-7.047 1.045 1.283
-1.441 -5.481 -3.449
1.174 -5.354 8.018
ATOMIC_POSITIONS crystal
Ni 0.500 0.000 0.500
Ni 0.000 0.500 0.000
Ag 0.500 0.000 0.000
Ag 0.000 0.500 0.500
Sn 0.325 0.636 0.099
Sn 0.825 0.864 0.599
Sn 0.675 0.364 0.901
Sn 0.175 0.136 0.401
Sn 0.347 0.657 0.430
Sn 0.847 0.843 0.930
Sn 0.653 0.343 0.570
Sn 0.153 0.157 0.070
Sn 0.843 0.427 0.227
Sn 0.343 0.073 0.727
Sn 0.157 0.573 0.773
Sn 0.657 0.927 0.273
Au 0.021 0.810 0.242
Au 0.521 0.690 0.742
Au 0.979 0.190 0.758
Au 0.479 0.310 0.258
```

***

[2]
TaNiAgAu2 | PBE-GGA | optimized geometry Values from VASP.

Output
Crystal system: tetragonal
E_form in eV/f.u.: 7.729
Calculated total energy in eV/atom: -3.862
Magnetization in μB per formula unit: 1.0
Calculated density in g/cm³: 9.3
SG: No. 123

Structure (Quantum ESPRESSO input):
```
&SYSTEM
  ibrav = 0, nat = 5, ntyp = 4
/
ATOMIC_SPECIES
Ni 58.69 Ni.upf
Au 196.97 Au.upf
Ag 107.87 Ag.upf
Ta 180.95 Ta.upf
CELL_PARAMETERS angstrom
5.075 0.000 0.000
0.000 5.150 0.000
0.000 0.000 5.075
ATOMIC_POSITIONS crystal
Ni 0.500 0.500 0.500
Au 0.000 0.000 0.500
Au 0.500 0.000 0.000
Ag 0.000 0.500 0.000
Ta 0.000 0.000 0.000
```

***

[3]
TbNiAgAu | PBE-GGA | optimized geometry Values from VASP.

Output
Crystal system: cubic
E_form in eV/f.u.: -1.297
Calculated total energy in eV/atom: -4.459
Magnetization in μB per formula unit: 0.0
Calculated density in g/cm³: 11.4
SG: No. 216

Structure (Quantum ESPRESSO input):
```
&SYSTEM
  ibrav = 0, nat = 4, ntyp = 4
/
ATOMIC_SPECIES
Tb 158.93 Tb.upf
Au 196.97 Au.upf
Ag 107.87 Ag.upf
Ni 58.69 Ni.upf
CELL_PARAMETERS angstrom
4.751 0.000 0.000
2.375 4.114 0.000
2.375 1.371 3.879
ATOMIC_POSITIONS crystal
Tb 0.750 0.750 0.750
Au 0.500 0.500 0.500
Ag 0.250 0.250 0.250
Ni 0.000 0.000 0.000
```

***

[4]
ThNiAgAu | PBE-GGA | optimized geometry Values from VASP.

Output
Crystal system: cubic
E_form in eV/f.u.: -1.111
Calculated total energy in eV/atom: -5.110
Magnetization in μB per formula unit: 0.0
Calculated density in g/cm³: 12.1
SG: No. 216

Structure (Quantum ESPRESSO input):
```
&SYSTEM
  ibrav = 0, nat = 4, ntyp = 4
/
ATOMIC_SPECIES
Ni 58.69 Ni.upf
Au 196.97 Au.upf
Ag 107.87 Ag.upf
Th 232.04 Th.upf
CELL_PARAMETERS angstrom
4.876 0.000 0.000
2.438 4.223 0.000
2.438 1.408 3.981
ATOMIC_POSITIONS crystal
Ni 0.500 0.500 0.500
Au 0.000 0.000 0.000
Ag 0.250 0.250 0.250
Th 0.750 0.750 0.750
```

***

[5]
Np2AgAu6 | PBE-GGA | optimized geometry Values from VASP.

Output
Crystal system: monoclinic
E_form in eV/f.u.: -1.195
Calculated total energy in eV/atom: -5.510
Magnetization in μB per formula unit: 9.0
Calculated density in g/cm³: 16.1
SG: No. 12

Structure (Quantum ESPRESSO input):
```
&SYSTEM
  ibrav = 0, nat = 9, ntyp = 3
/
ATOMIC_SPECIES
Np 237.00 Np.upf
Ag 107.87 Ag.upf
Au 196.97 Au.upf
CELL_PARAMETERS angstrom
-1.954 -1.323 -1.751
-4.882 -1.682 6.703
-5.925 5.538 2.411
ATOMIC_POSITIONS crystal
Np 0.000 0.333 0.333
Np 0.000 0.667 0.667
Ag 0.000 0.000 0.000
Au 0.499 0.671 0.000
Au 0.501 0.000 0.329
Au 0.501 0.329 0.000
Au 0.500 0.671 0.329
Au 0.499 0.000 0.671
Au 0.500 0.329 0.671
```

***

[6]
NpAgAu4 | PBE-GGA | optimized geometry Values from VASP.

Output
Crystal system: cubic
ΔE to the lowest computed polymorph in meV per atom: 49
E_form in eV/f.u.: -0.394
Calculated total energy in eV/atom: -4.883
Magnetization in μB per formula unit: 4.6
Calculated density in g/cm³: 15.4
SG: No. 216

Structure (Quantum ESPRESSO input):
```
&SYSTEM
  ibrav = 0, nat = 6, ntyp = 3
/
ATOMIC_SPECIES
Np 237.00 Np.upf
Au 196.97 Au.upf
Ag 107.87 Ag.upf
CELL_PARAMETERS angstrom
-5.064 0.153 2.318
-3.476 -4.311 -0.613
-1.172 -3.275 4.353
ATOMIC_POSITIONS crystal
Np 0.250 0.250 0.250
Au 0.625 0.625 0.124
Au 0.625 0.124 0.625
Au 0.625 0.625 0.625
Au 0.124 0.625 0.625
Ag 0.000 0.000 0.000
```

***

[7]
NpAgAu4 | PBE-GGA | optimized geometry Values from VASP.

Output
Crystal system: monoclinic
ΔE to the lowest computed polymorph in meV per atom: 0
E_form in eV/f.u.: -0.689
Calculated total energy in eV/atom: -4.932
Magnetization in μB per formula unit: 4.6
Calculated density in g/cm³: 15.9
SG: No. 10

Structure (Quantum ESPRESSO input):
```
&SYSTEM
  ibrav = 0, nat = 6, ntyp = 3
/
ATOMIC_SPECIES
Np 237.00 Np.upf
Ag 107.87 Ag.upf
Au 196.97 Au.upf
CELL_PARAMETERS angstrom
-1.276 -2.016 1.685
3.355 0.861 3.571
-5.275 5.055 3.737
ATOMIC_POSITIONS crystal
Np 0.500 0.000 0.000
Ag 0.500 0.500 0.500
Au 0.158 0.000 0.656
Au 0.035 0.500 0.826
Au 0.842 0.000 0.344
Au 0.965 0.500 0.174
```

***

[8]
NpAg2Au8 | PBE-GGA | optimized geometry Values from VASP.

Output
Crystal system: monoclinic
E_form in eV/f.u.: -0.410
Calculated total energy in eV/atom: -4.116
Magnetization in μB per formula unit: 4.3
Calculated density in g/cm³: 15.5
SG: No. 12

Structure (Quantum ESPRESSO input):
```
&SYSTEM
  ibrav = 0, nat = 11, ntyp = 3
/
ATOMIC_SPECIES
Np 237.00 Np.upf
Ag 107.87 Ag.upf
Au 196.97 Au.upf
CELL_PARAMETERS angstrom
1.035 0.569 -4.636
7.058 -3.972 1.089
-6.905 -2.906 0.570
ATOMIC_POSITIONS crystal
Np 0.500 0.000 0.000
Ag 0.189 0.662 0.378
Ag 0.811 0.338 0.622
Au 0.571 0.429 0.142
Au 0.313 0.118 0.626
Au 0.176 0.294 0.351
Au 0.054 0.822 0.108
Au 0.824 0.706 0.649
Au 0.687 0.882 0.374
Au 0.429 0.571 0.858
Au 0.946 0.178 0.892
```